## TlCd2 (PBE)

Data for an optimized crystal structure of TlCd2.

Values from the calculation:
The energy of formation from the pure elements is 0.0756 eV/atom. As for the raw total energy: -7.94 eV for the cell shown. Its symmetry is Imma. Its crystal system is orthorhombic. The value obtained for the volume is 166.6 Å³ per cell.

a b c (Å): 10.0587 10.0587 10.0587
angles (deg): 149.71 161.03 35.98
With the nearest neighbours (Å) after each atom.
Element x y z (fractional)
Tl 0.8758 0.6258 0.2500  2 Tl 3.31, 10 Cd 3.33-3.56
Tl 0.1242 0.3742 0.7500  2 Tl 3.31, 10 Cd 3.33-3.56
Cd 0.3134 0.0634 0.2500  3 Cd 2.93-2.94
Cd 0.6866 0.9366 0.7500  3 Cd 2.93-2.94
Cd 0.4663 0.2163 0.2500  3 Cd 2.93
Cd 0.5337 0.7837 0.7500  3 Cd 2.93

***

## PrNd8Co2 (PBE)

Data for an optimized crystal structure of PrNd8Co2.

Values from the calculation:
The energy of formation from the pure elements is 0.0709 eV/atom. As for the raw total energy: -56.35 eV for the cell shown. Its symmetry is C2/m. Its crystal system is monoclinic. The value obtained for the volume is 338.3 Å³ per cell.

a b c (Å): 5.7414 8.2021 8.2021
angles (deg): 117.06 95.43 95.43
With the nearest neighbours (Å) after each atom.
Element x y z (fractional)
Pr 0.5000 0.0000 0.0000  12 Nd 3.49-3.87
Nd 0.9366 0.9212 0.6587  2 Co 2.77-2.90
Nd 0.9366 0.6587 0.9212  2 Co 2.77-2.90
Nd 0.2905 0.5917 0.5917  4 Nd 3.10-3.42, 2 Co 3.34
Nd 0.5000 0.7415 0.2585  2 Co 2.92
Nd 0.5000 0.2585 0.7415  2 Co 2.92
Nd 0.7095 0.4083 0.4083  4 Nd 3.10-3.42, 2 Co 3.34
Nd 0.0634 0.3413 0.0788  2 Co 2.77-2.90
Nd 0.0634 0.0788 0.3413  2 Co 2.77-2.90
Co 0.0000 0.2950 0.7050  6 Nd 2.77-2.92
Co 0.0000 0.7050 0.2950  6 Nd 2.77-2.92

***

> Number 2 is which compound?

PrNd8Co2